1.
Compound: KSrCa2
Source: the Alexandria database
Functional: PBE-GGA
Structure: optimized geometry

Lattice parameters (Å, degrees): 3.9857 3.9857 13.5202 90.00 90.00 110.26
Last column: nearest neighbours and their distance in Å.
Sites, in units of the cell vectors:
Sr  0.5000  0.5000  0.7709  2 Ca 3.93, 4 Sr 3.99, 2 K 4.40
Ca  0.0000  0.0000  0.0079  6 Ca 3.76-3.99, 2 Sr 3.93
Ca  0.5000  0.5000  0.2291  6 Ca 3.76-3.99
K  0.0000  0.0000  0.4921  4 K 3.99, 2 Ca 4.22, 2 Sr 4.40

Calculated values
**Energy of formation**: 0.09 eV per atom
**Energy relative to the lowest polymorph listed for this composition**: 4 meV/atom
**E_tot**: -6.44 eV/cell

2.
Compound: KSrCa2
Source: the Alexandria database
Functional: PBE-GGA
Structure: optimized geometry

Lattice parameters (Å, degrees): 4.0648 4.0648 12.3542 90.00 90.00 90.00
Last column: nearest neighbours and their distance in Å.
Sites, in units of the cell vectors:
Sr  0.5000  0.5000  0.7787  4 Ca 4.06, 4 Sr 4.06
Ca  0.5000  0.5000  0.2216  8 Ca 3.88-4.06
Ca  0.0000  0.0000  0.0110  8 Ca 3.88-4.06, 4 Sr 4.06
K  0.0000  0.0000  0.4887  4 K 4.06, 4 Ca 4.38

Calculated values
**Energy of formation**: 0.08 eV per atom
**Energy relative to the lowest polymorph listed for this composition**: 0 meV/atom
**E_tot**: -6.45 eV/cell

3.
Compound: KSrCa2
Source: the Alexandria database
Functional: PBE-GGA
Structure: optimized geometry

Lattice parameters (Å, degrees): 10.3519 10.3519 8.2947 51.39 51.39 90.00
Last column: nearest neighbours and their distance in Å.
Sites, in units of the cell vectors:
Ca  0.1353  0.6250  0.2500  2 K 3.72, 2 Sr 3.86, 2 Ca 3.91
Ca  0.8750  0.8647  0.7500  2 K 3.72, 2 Sr 3.86, 2 Ca 3.91
Ca  0.3750  0.3853  0.7500  2 K 3.72, 2 Sr 3.86, 2 Ca 3.91
Ca  0.6147  0.1250  0.2500  2 K 3.72, 2 Sr 3.86, 2 Ca 3.91
K  0.5000  0.5000  0.0000  4 Ca 3.72, 2 Sr 3.90
K  0.2500  0.7500  0.5000  4 Ca 3.72, 2 Sr 3.90
Sr  0.7500  0.2500  0.5000  4 Ca 3.86, 2 K 3.90
Sr  0.0000  0.0000  0.0000  4 Ca 3.86, 2 K 3.90

Calculated values
**Energy of formation**: 0.34 eV per atom
**Energy relative to the lowest polymorph listed for this composition**: 256 meV/atom
**E_tot**: -10.86 eV/cell

4.
Compound: K2Sr15Ca2
Source: the Alexandria database
Functional: PBE-GGA
Structure: optimized geometry

Lattice parameters (Å, degrees): 10.5757 10.5757 10.5757 81.83 81.83 81.83
Last column: nearest neighbours and their distance in Å.
Sites, in units of the cell vectors:
Sr  0.5000  0.0000  0.0000  8 Sr 3.98-4.05, 2 Ca 4.29
Sr  0.0000  0.7032  0.2968  8 Sr 4.05-4.27
Sr  0.3432  0.3432  0.8510  8 Sr 3.98-4.27, 1 Ca 4.33
Sr  0.3432  0.8510  0.3432  8 Sr 3.98-4.27, 1 Ca 4.33
Sr  0.6568  0.6568  0.1490  8 Sr 3.98-4.27, 1 Ca 4.33
Sr  0.7032  0.2968  0.0000  8 Sr 4.05-4.27
Sr  0.0000  0.2968  0.7032  8 Sr 4.05-4.27
Sr  0.8510  0.3432  0.3432  8 Sr 3.98-4.27, 1 Ca 4.33
Sr  0.1490  0.6568  0.6568  8 Sr 3.98-4.27, 1 Ca 4.33
Sr  0.6568  0.1490  0.6568  8 Sr 3.98-4.27, 1 Ca 4.33
Sr  0.7032  0.0000  0.2968  8 Sr 4.05-4.27
Sr  0.0000  0.5000  0.0000  8 Sr 3.98-4.05, 2 Ca 4.29
Sr  0.2968  0.7032  0.0000  8 Sr 4.05-4.27
Sr  0.2968  0.0000  0.7032  8 Sr 4.05-4.27
Sr  0.0000  0.0000  0.5000  8 Sr 3.98-4.05, 2 Ca 4.29
K  0.6757  0.6757  0.6757  1 Ca 4.82, 15 Sr 4.89-5.29
K  0.3243  0.3243  0.3243  1 Ca 4.82, 15 Sr 4.89-5.29
Ca  0.0921  0.0921  0.0921  1 Ca 3.82
Ca  0.9079  0.9079  0.9079  1 Ca 3.82

Calculated values
**Energy of formation**: 0.13 eV per atom
**E_tot**: -28.96 eV/cell

5.
Compound: KSr4Ca5
Source: the Alexandria database
Functional: PBE-GGA
Structure: optimized geometry

Lattice parameters (Å, degrees): 4.0472 4.0472 30.0843 90.00 90.00 90.00
Last column: nearest neighbours and their distance in Å.
Sites, in units of the cell vectors:
Sr  0.0000  0.0000  0.4029  4 Sr 4.05, 8 Ca 4.09
Sr  0.0000  0.0000  0.2085  4 Sr 4.05, 8 Ca 4.09
Sr  0.0000  0.0000  0.7915  4 Sr 4.05, 8 Ca 4.09
Sr  0.0000  0.0000  0.5971  4 Sr 4.05, 8 Ca 4.09
K  0.0000  0.0000  0.0000  4 K 4.05, 8 Ca 4.41
Ca  0.5000  0.5000  0.3058  4 Ca 4.05, 8 Sr 4.09
Ca  0.5000  0.5000  0.8886  4 Ca 4.05, 4 Sr 4.09, 4 K 4.41
Ca  0.5000  0.5000  0.5000  4 Ca 4.05, 8 Sr 4.09
Ca  0.5000  0.5000  0.1114  4 Ca 4.05, 4 Sr 4.09, 4 K 4.41
Ca  0.5000  0.5000  0.6942  4 Ca 4.05, 8 Sr 4.09

Calculated values
**Energy of formation**: 0.05 eV per atom
**E_tot**: -17.34 eV/cell

6.
Compound: KSrCa2
Source: the Alexandria database
Functional: PBE-GGA
Structure: optimized geometry

Lattice parameters (Å, degrees): 3.9786 3.9786 13.4437 90.00 90.00 109.27
Last column: nearest neighbours and their distance in Å.
Sites, in units of the cell vectors:
Ca  0.0000  0.0000  0.5136  2 Sr 3.92, 4 Ca 3.98, 2 K 4.23
Ca  0.0000  0.0000  0.9864  2 Sr 3.92, 4 Ca 3.98, 2 K 4.23
K  0.5000  0.5000  0.2500  4 K 3.98, 4 Ca 4.23
Sr  0.5000  0.5000  0.7500  4 Ca 3.92, 4 Sr 3.98

Calculated values
**Energy of formation**: 0.10 eV per atom
**Energy relative to the lowest polymorph listed for this composition**: 13 meV/atom
**E_tot**: -6.40 eV/cell

7.
Compound: KSrCa2
Source: the Alexandria database
Functional: PBE-GGA
Structure: optimized geometry

Lattice parameters (Å, degrees): 4.0894 4.0894 14.1523 81.69 81.69 60.00
Last column: nearest neighbours and their distance in Å.
Sites, in units of the cell vectors:
Ca  0.2538  0.2538  0.2382  3 Sr 4.08, 6 Ca 4.09, 3 K 4.35
Ca  0.0796  0.0796  0.7617  3 Sr 4.08, 6 Ca 4.09, 3 K 4.35
Sr  0.6667  0.6667  0.9999  6 Ca 4.08, 6 Sr 4.09
K  0.5000  0.5000  0.5002  6 K 4.09, 6 Ca 4.35

Calculated values
**Energy of formation**: 0.09 eV per atom
**Energy relative to the lowest polymorph listed for this composition**: 8 meV/atom
**E_tot**: -6.42 eV/cell

8.
Compound: K3SrCa
Source: the Alexandria database
Functional: PBE-GGA
Structure: optimized geometry

Lattice parameters (Å, degrees): 7.3439 7.3439 7.3439 90.00 90.00 90.00
Last column: nearest neighbours and their distance in Å.
Sites, in units of the cell vectors:
Ca  0.0000  0.0000  0.0000  6 K 3.67
K  0.5000  0.0000  0.0000  2 Ca 3.67
K  0.0000  0.0000  0.5000  2 Ca 3.67
K  0.0000  0.5000  0.0000  2 Ca 3.67
Sr  0.5000  0.5000  0.5000  12 K 5.19

Calculated values
**Energy of formation**: 0.47 eV per atom
**Energy relative to the lowest polymorph listed for this composition**: 0 meV/atom
**E_tot**: -4.60 eV/cell

9.
Compound: KSr9Ca2
Source: the Alexandria database
Functional: PBE-GGA
Structure: optimized geometry

Lattice parameters (Å, degrees): 5.9760 5.9760 17.9371 90.00 90.00 90.00
Last column: nearest neighbours and their distance in Å.
Sites, in units of the cell vectors:
Sr  0.5000  0.0000  0.5000  4 Ca 4.16, 8 Sr 4.16-4.23
Sr  0.5000  0.0000  0.1778  8 Sr 4.16-4.37, 2 Ca 4.16, 2 K 4.37
Sr  0.5000  0.5000  0.6611  8 Sr 4.16, 4 Ca 4.23
Sr  0.0000  0.5000  0.1778  8 Sr 4.16-4.37, 2 Ca 4.16, 2 K 4.37
Sr  0.0000  0.5000  0.5000  4 Ca 4.16, 8 Sr 4.16-4.23
Sr  0.0000  0.5000  0.8222  8 Sr 4.16-4.37, 2 Ca 4.16, 2 K 4.37
Sr  0.5000  0.0000  0.8222  8 Sr 4.16-4.37, 2 Ca 4.16, 2 K 4.37
Sr  0.5000  0.5000  0.0000  4 K 4.23, 8 Sr 4.37
Sr  0.5000  0.5000  0.3389  8 Sr 4.16, 4 Ca 4.23
K  0.0000  0.0000  0.0000  12 Sr 4.23-4.37
Ca  0.0000  0.0000  0.6611  12 Sr 4.16-4.23
Ca  0.0000  0.0000  0.3389  12 Sr 4.16-4.23

Calculated values
**Energy of formation**: 0.04 eV per atom
**E_tot**: -19.77 eV/cell

10.
Compound: KSrCa
Source: the Alexandria database
Functional: PBE-GGA
Structure: optimized geometry

Lattice parameters (Å, degrees): 4.1704 4.1704 10.7535 90.00 90.00 120.00
Last column: nearest neighbours and their distance in Å.
Sites, in units of the cell vectors:
Ca  0.0000  0.0000  0.9882  3 Sr 4.05, 6 Ca 4.17, 3 K 4.37
Sr  0.3333  0.6667  0.6850  3 Ca 4.05, 6 Sr 4.17
K  0.6667  0.3333  0.3268  6 K 4.17, 3 Ca 4.37, 3 Sr 4.54

Calculated values
**Energy of formation**: 0.09 eV per atom
**E_tot**: -4.50 eV/cell

11.
Compound: KSrCa
Source: the Alexandria database
Functional: PBE-GGA
Structure: optimized geometry

Lattice parameters (Å, degrees): 6.5458 4.1118 12.5156 80.33 89.98 90.00
Last column: nearest neighbours and their distance in Å.
Sites, in units of the cell vectors:
Ca  0.4774  0.1834  0.5843  4 Ca 3.82-4.11, 6 Sr 4.05-4.16, 1 K 4.08
Ca  0.9766  0.1041  0.7440  4 Ca 3.82-4.11, 6 Sr 4.05-4.16, 1 K 4.08
Sr  0.4761  0.5406  0.8674  6 Ca 4.05-4.16, 2 Sr 4.11
Sr  0.9778  0.7458  0.4610  6 Ca 4.05-4.16, 2 Sr 4.11
K  0.4773  0.3460  0.2534  1 Ca 4.08, 6 K 4.11-4.46
K  0.9765  0.9324  0.0750  1 Ca 4.08, 6 K 4.11-4.46

Calculated values
**Energy of formation**: 0.08 eV per atom
**E_tot**: -9.10 eV/cell

12.
Compound: KSrCa
Source: the Alexandria database
Functional: PBE-GGA
Structure: optimized geometry

Lattice parameters (Å, degrees): 10.1000 10.1000 10.1000 156.52 156.52 33.45
Last column: nearest neighbours and their distance in Å.
Sites, in units of the cell vectors:
Ca  0.0073  0.0073  0.0000  4 Sr 4.07, 4 Ca 4.11, 4 K 4.38
Sr  0.6547  0.6547  0.0000  4 Ca 4.07, 4 Sr 4.11
K  0.3380  0.3380  0.0000  4 K 4.11, 4 Ca 4.38, 4 Sr 4.59

Calculated values
**Energy of formation**: 0.10 eV per atom
**E_tot**: -4.47 eV/cell

13.
Compound: K2SrCa2
Source: the Alexandria database
Functional: PBE-GGA
Structure: optimized geometry

Lattice parameters (Å, degrees): 11.2852 11.2852 4.2833 90.00 90.00 90.00
Last column: nearest neighbours and their distance in Å.
Sites, in units of the cell vectors:
Ca  0.8199  0.3199  0.5000  6 K 3.83-4.07, 2 Ca 4.28
Ca  0.3199  0.1801  0.5000  6 K 3.83-4.07, 2 Ca 4.28
Ca  0.1801  0.6801  0.5000  6 K 3.83-4.07, 2 Ca 4.28
Ca  0.6801  0.8199  0.5000  6 K 3.83-4.07, 2 Ca 4.28
K  0.6211  0.1211  0.0000  6 Ca 3.83-4.07, 3 K 3.86-4.28
K  0.8789  0.6211  0.0000  6 Ca 3.83-4.07, 3 K 3.86-4.28
K  0.3789  0.8789  0.0000  6 Ca 3.83-4.07, 3 K 3.86-4.28
K  0.1211  0.3789  0.0000  6 Ca 3.83-4.07, 3 K 3.86-4.28
Sr  0.0000  0.0000  0.0000  2 Sr 4.28, 4 K 4.49, 8 Ca 4.66
Sr  0.5000  0.5000  0.0000  2 Sr 4.28, 4 K 4.49, 8 Ca 4.66

Calculated values
**Energy of formation**: 0.25 eV per atom
**E_tot**: -13.26 eV/cell

14.
Compound: KSrCa2
Source: the Alexandria database
Functional: PBE-GGA
Structure: optimized geometry

Lattice parameters (Å, degrees): 6.6011 6.6011 6.6011 60.00 60.00 60.00
Last column: nearest neighbours and their distance in Å.
Sites, in units of the cell vectors:
K  0.0000  0.0000  0.0000  8 Ca 4.04
Ca  0.2500  0.2500  0.2500  4 Sr 4.04, 4 K 4.04
Ca  0.7500  0.7500  0.7500  4 K 4.04, 4 Sr 4.04
Sr  0.5000  0.5000  0.5000  8 Ca 4.04

Calculated values
**Energy of formation**: 0.16 eV per atom
**Energy relative to the lowest polymorph listed for this composition**: 78 meV/atom
**E_tot**: -6.14 eV/cell

15.
Compound: KSrCa
Source: the Alexandria database
Functional: PBE-GGA
Structure: optimized geometry

Lattice parameters (Å, degrees): 7.3943 7.3943 7.3943 147.35 131.19 59.97
Last column: nearest neighbours and their distance in Å.
Sites, in units of the cell vectors:
Sr  0.3395  0.3395  0.0000  2 Sr 4.16, 5 K 4.17-4.32, 5 Ca 4.20-4.40
Ca  0.9958  0.9958  0.0000  2 Ca 4.16, 5 Sr 4.20-4.40, 5 K 4.24-4.28
K  0.6647  0.6647  0.0000  2 K 4.16, 5 Sr 4.17-4.32, 5 Ca 4.24-4.28

Calculated values
**Energy of formation**: 0.15 eV per atom
**E_tot**: -4.34 eV/cell

16.
Compound: K2SrCa2
Source: the Alexandria database
Functional: PBE-GGA
Structure: optimized geometry

Lattice parameters (Å, degrees): 11.3193 11.3193 4.3586 90.00 90.00 90.00
Last column: nearest neighbours and their distance in Å.
Sites, in units of the cell vectors:
K  0.1750  0.6750  0.5000  6 Ca 3.92-4.04, 2 K 4.36
K  0.8250  0.3250  0.5000  6 Ca 3.92-4.04, 2 K 4.36
K  0.6750  0.8250  0.5000  6 Ca 3.92-4.04, 2 K 4.36
K  0.3250  0.1750  0.5000  6 Ca 3.92-4.04, 2 K 4.36
Ca  0.6212  0.1212  0.0000  1 Ca 3.88, 6 K 3.92-4.04
Ca  0.8788  0.6212  0.0000  1 Ca 3.88, 6 K 3.92-4.04
Ca  0.1212  0.3788  0.0000  1 Ca 3.88, 6 K 3.92-4.04
Ca  0.3788  0.8788  0.0000  1 Ca 3.88, 6 K 3.92-4.04
Sr  0.0000  0.0000  0.0000  2 Sr 4.36, 4 Ca 4.50, 8 K 4.71
Sr  0.5000  0.5000  0.0000  2 Sr 4.36, 4 Ca 4.50, 8 K 4.71

Calculated values
**Energy of formation**: 0.25 eV per atom
**E_tot**: -13.27 eV/cell

17.
Compound: KSrCa2
Source: the Alexandria database
Functional: PBE-GGA
Structure: optimized geometry

Lattice parameters (Å, degrees): 6.5405 3.9763 7.8724 79.64 90.00 90.00
Last column: nearest neighbours and their distance in Å.
Sites, in units of the cell vectors:
Sr  0.5000  0.7393  0.7642  4 Ca 3.85-4.30, 2 Sr 3.98, 2 K 4.12
Ca  0.0000  0.0160  0.0065  4 Ca 3.93-3.98, 2 K 4.03-4.13, 2 Sr 4.04
Ca  0.5000  0.2567  0.2349  2 Sr 3.85-4.30, 4 Ca 3.93-3.98, 2 K 4.05
K  0.0000  0.4880  0.4944  2 K 3.98, 4 Ca 4.03-4.13, 2 Sr 4.12

Calculated values
**Energy of formation**: 0.12 eV per atom
**Energy relative to the lowest polymorph listed for this composition**: 39 meV/atom
**E_tot**: -6.30 eV/cell

18.
Compound: KSrCa3
Source: the Alexandria database
Functional: PBE-GGA
Structure: optimized geometry

Lattice parameters (Å, degrees): 6.4948 6.4948 6.4948 90.00 90.00 90.00
Last column: nearest neighbours and their distance in Å.
Sites, in units of the cell vectors:
Ca  0.0000  0.0000  0.5000  2 K 3.25
Ca  0.0000  0.5000  0.0000  2 K 3.25
Ca  0.5000  0.0000  0.0000  2 K 3.25
K  0.0000  0.0000  0.0000  6 Ca 3.25
Sr  0.5000  0.5000  0.5000  12 Ca 4.59

Calculated values
**Energy of formation**: 0.62 eV per atom
**Energy relative to the lowest polymorph listed for this composition**: 0 meV/atom
**E_tot**: -5.69 eV/cell

19.
Compound: KSrCa2
Source: the Alexandria database
Functional: PBE-GGA
Structure: optimized geometry

Lattice parameters (Å, degrees): 4.1264 5.6865 8.6449 90.00 90.00 90.00
Last column: nearest neighbours and their distance in Å.
Sites, in units of the cell vectors:
Ca  0.5000  0.5000  0.2256  1 Sr 3.93, 6 Ca 3.97-4.13, 4 K 4.20
Ca  0.0000  0.0000  0.0112  6 Ca 3.97-4.13, 4 Sr 4.08, 1 K 4.15
K  0.0000  0.0000  0.4916  2 K 4.13, 6 Ca 4.15-4.49, 4 Sr 4.27
Sr  0.5000  0.5000  0.7715  5 Ca 3.93-4.08, 2 Sr 4.13, 4 K 4.27

Calculated values
**Energy of formation**: 0.12 eV per atom
**Energy relative to the lowest polymorph listed for this composition**: 36 meV/atom
**E_tot**: -6.31 eV/cell

20.
Compound: KSr12Ca3
Source: the Alexandria database
Functional: PBE-GGA
Structure: optimized geometry

Lattice parameters (Å, degrees): 5.9648 5.9648 23.7694 90.00 90.00 90.00
Last column: nearest neighbours and their distance in Å.
Sites, in units of the cell vectors:
Sr  0.0000  0.5000  0.6219  4 Ca 4.16, 8 Sr 4.16-4.22
Sr  0.5000  0.0000  0.1342  2 Ca 4.16, 8 Sr 4.16-4.37, 2 K 4.37
Sr  0.5000  0.5000  0.5000  8 Sr 4.16, 4 Ca 4.22
Sr  0.5000  0.5000  0.7440  8 Sr 4.16, 4 Ca 4.22
Sr  0.5000  0.0000  0.8658  2 Ca 4.16, 8 Sr 4.16-4.37, 2 K 4.37
Sr  0.0000  0.5000  0.8658  2 Ca 4.16, 8 Sr 4.16-4.37, 2 K 4.37
Sr  0.5000  0.5000  0.2560  8 Sr 4.16, 4 Ca 4.22
Sr  0.0000  0.5000  0.3781  4 Ca 4.16, 8 Sr 4.16-4.22
Sr  0.0000  0.5000  0.1342  2 Ca 4.16, 8 Sr 4.16-4.37, 2 K 4.37
Sr  0.5000  0.0000  0.6219  4 Ca 4.16, 8 Sr 4.16-4.22
Sr  0.5000  0.5000  0.0000  4 K 4.22, 8 Sr 4.37
Sr  0.5000  0.0000  0.3781  4 Ca 4.16, 8 Sr 4.16-4.22
Ca  0.0000  0.0000  0.7441  12 Sr 4.16-4.22
Ca  0.0000  0.0000  0.5000  12 Sr 4.16-4.22
Ca  0.0000  0.0000  0.2559  12 Sr 4.16-4.22
K  0.0000  0.0000  0.0000  12 Sr 4.22-4.37

Calculated values
**Energy of formation**: 0.03 eV per atom
**E_tot**: -26.79 eV/cell